No. 1
Here is a PBEsol-optimized structure of NaHfScTi2 from Alexandria via LeMat-Bulk. Energies are from SCAN.

Values from the calculation:
Formation energy = 1290.0 meV per atom
E = -21.347 eV/atom

a b c (Å): 4.6230 4.6230 4.8468
angles (deg): 90.00 90.00 90.00
Positions (direct):
1 Hf 0.5000 0.5000 0.5000
2 Ti 0.5000 0.0000 0.0000
3 Ti 0.0000 0.5000 0.0000
4 Sc 0.0000 0.0000 0.0000
5 Na 0.0000 0.0000 0.5000

No. 2
Here is a PBEsol-optimized structure of Rb2MoSeO6 from Alexandria via LeMat-Bulk. Energies are from SCAN.

Values from the calculation:
Uncorrected formation energy = -1.877 eV per atom
E = -15.260 eV/atom

a b c (Å): 6.1858 7.7011 14.4294
angles (deg): 90.00 90.00 90.00
Positions (direct):
1 Mo 0.7500 0.0993 0.7301
2 Mo 0.2500 0.9007 0.2699
3 Mo 0.7500 0.5993 0.7699
4 Mo 0.2500 0.4007 0.2301
5 O 0.5252 0.5487 0.8368
6 O 0.4748 0.4513 0.1632
7 O 0.2500 0.6682 0.2761
8 O 0.4548 0.8877 0.1450
9 O 0.2500 0.1682 0.2239
10 O 0.9748 0.5487 0.8368
11 O 0.5452 0.1123 0.8550
12 O 0.9548 0.6123 0.6450
13 O 0.9548 0.1123 0.8550
14 O 0.0452 0.3877 0.3550
15 O 0.7500 0.8318 0.7761
16 O 0.5452 0.6123 0.6450
17 O 0.5252 0.0487 0.6632
18 O 0.0252 0.4513 0.1632
19 O 0.0252 0.9513 0.3368
20 O 0.7500 0.7559 0.4959
21 O 0.7500 0.2559 0.0041
22 O 0.9748 0.0487 0.6632
23 O 0.7500 0.3318 0.7239
24 O 0.0452 0.8877 0.1450
25 O 0.4548 0.3877 0.3550
26 O 0.2500 0.7441 0.9959
27 O 0.4748 0.9513 0.3368
28 O 0.2500 0.2441 0.5041
29 Rb 0.7500 0.1572 0.2007
30 Rb 0.7500 0.1257 0.4666
31 Rb 0.7500 0.6257 0.0334
32 Rb 0.2500 0.3743 0.9666
33 Rb 0.2500 0.8428 0.7993
34 Rb 0.7500 0.6572 0.2993
35 Rb 0.2500 0.3428 0.7007
36 Rb 0.2500 0.8743 0.5334
37 Se 0.7500 0.5798 0.5635
38 Se 0.2500 0.4202 0.4365
39 Se 0.2500 0.9202 0.0635
40 Se 0.7500 0.0798 0.9365

No. 3
Here is a PBEsol-optimized structure of Sc2Zn from Alexandria via LeMat-Bulk. Energies are from SCAN.

Values from the calculation:
Formation energy = -300.0 meV per atom
E = -14.296 eV/atom

a b c (Å): 3.3067 4.7477 7.6928
angles (deg): 90.00 102.41 90.00
Positions (direct):
1 Zn 0.0708 0.7500 0.1417
2 Zn 0.9292 0.2500 0.8583
3 Sc 0.5834 0.2500 0.1668
4 Sc 0.7234 0.7500 0.4467
5 Sc 0.4166 0.7500 0.8332
6 Sc 0.2766 0.2500 0.5533

No. 4
Here is a PBEsol-optimized structure of Sc3RhC4 from Alexandria via LeMat-Bulk. Energies are from SCAN.

Values from the calculation:
Formation energy = -606.2 meV per atom
E = -15.216 eV/atom

a b c (Å): 3.3659 4.4492 6.6718
angles (deg): 109.48 104.61 90.00
Positions (direct):
1 C 0.6276 0.7898 0.2552
2 C 0.3724 0.2102 0.7448
3 C 0.3724 0.5346 0.7448
4 C 0.6276 0.4654 0.2552
5 Sc 0.1895 0.1895 0.3791
6 Sc 0.0000 0.5000 0.0000
7 Sc 0.8105 0.8105 0.6209
8 Rh 0.5000 0.0000 0.0000

No. 5
Here is a PBEsol-optimized structure of KTc2Ir from Alexandria via LeMat-Bulk. Energies are from SCAN.

Values from the calculation:
Formation energy = 1022.4 meV per atom
E = -36.365 eV/atom

a b c (Å): 2.8746 5.0494 5.5953
angles (deg): 116.82 104.88 90.00
Positions (direct):
1 K 0.2575 0.7575 0.5151
2 Tc 0.0413 0.0413 0.0827
3 Tc 0.7351 0.2351 0.4702
4 Ir 0.4660 0.4660 0.9321

No. 6
Here is a PBEsol-optimized structure of La3Ni2Sn7 from Alexandria via LeMat-Bulk. Energies are from SCAN.

Values from the calculation:
Formation energy = -714.3 meV per atom
E = -35.140 eV/atom

a b c (Å): 4.5799 4.5867 13.8622
angles (deg): 80.48 90.00 90.00
Positions (direct):
1 Sn 0.5000 0.9106 0.1788
2 Sn 0.0000 0.5893 0.8214
3 Sn 0.0000 0.4107 0.1786
4 Sn 0.5000 0.0894 0.8212
5 Sn 0.5000 0.7185 0.5629
6 Sn 0.5000 0.2815 0.4371
7 Sn 0.0000 0.0000 0.0000
8 La 0.5000 0.5000 0.0000
9 La 0.0000 0.1843 0.6314
10 La 0.0000 0.8157 0.3686
11 Ni 0.5000 0.3721 0.2557
12 Ni 0.5000 0.6279 0.7443